No. 1
12
Lattice="9.108 -2.093 0.000 9.108 2.093 0.000 -1.904 0.000 8.141" Properties=species:S:1:pos:R:3 comment="PBE La2TbTm3As6, optimized geometry" spacegroup="C2/m (12)" dft_energy_ev_per_atom=-6.1653 formation_energy_mev_per_atom=-1516 pbc="T T T"
La 2.382 0.000 2.695
La 13.930 0.000 5.446
Tb 9.108 0.000 0.000
Tm 1.452 0.000 6.791
Tm 8.156 0.000 4.071
Tm 14.861 0.000 1.350
As -1.350 0.000 6.102
As 4.295 0.000 7.558
As 5.367 0.000 3.315
As 10.946 0.000 4.826
As 12.017 0.000 0.583
As 17.662 0.000 2.039



No. 2
8
Lattice="7.203 0.000 0.000 0.000 4.166 0.000 -2.403 0.000 6.799" Properties=species:S:1:pos:R:3 comment="PBE LaTbTm2As4, optimized geometry" spacegroup="P2/m (10)" dft_energy_ev_per_atom=-6.1517 formation_energy_mev_per_atom=-1514 pbc="T T T"
La 0.000 0.000 0.000
Tb -1.201 2.083 3.400
Tm 2.400 0.000 3.400
Tm 3.601 2.083 0.000
As 0.068 0.000 5.083
As 1.270 2.083 1.768
As 3.530 2.083 5.032
As 4.732 0.000 1.716



No. 3
12
Lattice="3.669 -6.354 0.000 3.669 6.354 0.000 -2.445 0.000 6.903" Properties=species:S:1:pos:R:3 comment="PBE La3TbTm2As6, optimized geometry" spacegroup="C2/m (12)" dft_energy_ev_per_atom=-6.2190 formation_energy_mev_per_atom=-1531 pbc="T T T"
La 0.000 0.000 0.000
La 3.669 2.112 0.000
La 3.669 -2.112 0.000
Tb 2.447 0.000 3.451
Tm 2.447 4.234 3.451
Tm 2.447 -4.234 3.451
As 1.214 2.134 1.831
As -0.018 0.000 5.069
As 1.214 -2.134 1.831
As 3.679 2.134 5.072
As 4.911 0.000 1.834
As 3.679 -2.134 5.072